# 1
In2AgH (PBE-GGA, optimized geometry); symmetry = Fm-3m (225); calculated volume = 77 Å³/cell; distance to the lowest polymorph of the same formula = 36 meV/atom
1.0
0.0000 3.3794 3.3794
3.3794 0.0000 3.3794
3.3794 3.3794 0.0000
In Ag H
2 1 1
Direct
0.2500 0.2500 0.2500 In
0.7500 0.7500 0.7500 In
0.0000 0.0000 0.0000 Ag
0.5000 0.5000 0.5000 H

# 2
InAg2H2 (PBE-GGA, optimized geometry); symmetry = P4/mbm (127); calculated volume = 158 Å³/cell; distance to the lowest polymorph of the same formula = 51 meV/atom
1.0
7.4718 0.0000 0.0000
0.0000 7.4718 0.0000
0.0000 0.0000 2.8379
In Ag H
2 4 4
Direct
0.0000 0.0000 0.0000 In
0.5000 0.5000 0.0000 In
0.1341 0.3659 0.5000 Ag
0.3659 0.8659 0.5000 Ag
0.6341 0.1341 0.5000 Ag
0.8659 0.6341 0.5000 Ag
0.2417 0.2583 0.0000 H
0.2583 0.7583 0.0000 H
0.7417 0.2417 0.0000 H
0.7583 0.7417 0.0000 H

# 3
InAg2H (PBE-GGA, optimized geometry); symmetry = Fm-3m (225); calculated volume = 69 Å³/cell; distance to the lowest polymorph of the same formula = 346 meV/atom
1.0
0.0000 3.2632 3.2632
3.2632 0.0000 3.2632
3.2632 3.2632 0.0000
In Ag H
1 2 1
Direct
0.0000 0.0000 0.0000 In
0.2500 0.2500 0.2500 Ag
0.7500 0.7500 0.7500 Ag
0.5000 0.5000 0.5000 H

# 4
InAgH6Ir2 (PBE-GGA, optimized geometry); symmetry = C2/c (15); calculated volume = 216 Å³/cell
1.0
3.9159 -6.3138 0.0000
3.9159 6.3138 0.0000
-1.4396 0.0000 4.3752
In Ag H Ir
2 2 12 4
Direct
0.1110 0.8890 0.7500 In
0.8890 0.1110 0.2500 In
0.2782 0.7218 0.2500 Ag
0.7218 0.2782 0.7500 Ag
0.1032 0.4501 0.6586 H
0.3040 0.3076 0.6642 H
0.3076 0.3040 0.1642 H
0.3282 0.5142 0.9938 H
0.4501 0.1032 0.1586 H
0.4858 0.6718 0.5062 H
0.5142 0.3282 0.4938 H
0.5499 0.8968 0.8414 H
0.6718 0.4858 0.0062 H
0.6924 0.6960 0.8358 H
0.6960 0.6924 0.3358 H
0.8968 0.5499 0.3414 H
0.1143 0.2899 0.8447 Ir
0.2899 0.1143 0.3447 Ir
0.7101 0.8857 0.6553 Ir
0.8857 0.7101 0.1553 Ir

# 5
LaInAg2H (PBE-GGA, optimized geometry); symmetry = P4/mmm (123); calculated volume = 103 Å³/cell
1.0
4.7674 0.0000 0.0000
0.0000 4.7674 0.0000
0.0000 0.0000 4.5429
La In Ag H
1 1 2 1
Direct
0.0000 0.0000 0.0000 La
0.5000 0.5000 0.0000 In
0.0000 0.5000 0.5000 Ag
0.5000 0.0000 0.5000 Ag
0.0000 0.0000 0.5000 H

# 6
Li2InAgH (PBE-GGA, optimized geometry); symmetry = P4/mmm (123); calculated volume = 75 Å³/cell; distance to the lowest polymorph of the same formula = 40 meV/atom
1.0
4.0587 0.0000 0.0000
0.0000 4.0587 0.0000
0.0000 0.0000 4.5337
Li In Ag H
2 1 1 1
Direct
0.0000 0.5000 0.0000 Li
0.5000 0.0000 0.0000 Li
0.0000 0.0000 0.5000 In
0.5000 0.5000 0.5000 Ag
0.0000 0.0000 0.0000 H

# 7
LiIn2AgH (PBE-GGA, optimized geometry); symmetry = P4/mmm (123); calculated volume = 87 Å³/cell
1.0
4.8493 0.0000 0.0000
0.0000 4.8493 0.0000
0.0000 0.0000 3.6890
Li In Ag H
1 2 1 1
Direct
0.0000 0.0000 0.0000 Li
0.0000 0.5000 0.5000 In
0.5000 0.0000 0.5000 In
0.5000 0.5000 0.0000 Ag
0.0000 0.0000 0.5000 H

# 8
Li2InAgH (PBE-GGA, optimized geometry); symmetry = P4/mmm (123); calculated volume = 72 Å³/cell; distance to the lowest polymorph of the same formula = 0 meV/atom
1.0
4.2113 0.0000 0.0000
0.0000 4.2113 0.0000
0.0000 0.0000 4.0741
Li In Ag H
2 1 1 1
Direct
0.0000 0.5000 0.0000 Li
0.5000 0.0000 0.0000 Li
0.0000 0.0000 0.5000 In
0.5000 0.5000 0.5000 Ag
0.5000 0.5000 0.0000 H

# 9
In2AgMoH (PBE-GGA, optimized geometry); symmetry = P4/mmm (123); calculated volume = 81 Å³/cell
1.0
4.7138 0.0000 0.0000
0.0000 4.7138 0.0000
0.0000 0.0000 3.6483
In Ag Mo H
2 1 1 1
Direct
0.0000 0.5000 0.0000 In
0.5000 0.0000 0.0000 In
0.0000 0.0000 0.5000 Ag
0.5000 0.5000 0.5000 Mo
0.0000 0.0000 0.0000 H

# 10
Na2InAgH (PBE-GGA, optimized geometry); symmetry = P4/mmm (123); calculated volume = 98 Å³/cell
1.0
5.0234 0.0000 0.0000
0.0000 5.0234 0.0000
0.0000 0.0000 3.8986
Na In Ag H
2 1 1 1
Direct
0.0000 0.5000 0.0000 Na
0.5000 0.0000 0.0000 Na
0.0000 0.0000 0.5000 In
0.5000 0.5000 0.5000 Ag
0.5000 0.5000 0.0000 H

# 11
Na2InAgH (PBE-GGA, optimized geometry); symmetry = P4/mmm (123); calculated volume = 99 Å³/cell
1.0
4.5299 0.0000 0.0000
0.0000 4.5299 0.0000
0.0000 0.0000 4.8306
Na In Ag H
2 1 1 1
Direct
0.0000 0.5000 0.0000 Na
0.5000 0.0000 0.0000 Na
0.0000 0.0000 0.5000 In
0.5000 0.5000 0.5000 Ag
0.0000 0.0000 0.0000 H

# 12
NbInAgH2 (PBE-GGA, optimized geometry); symmetry = P4/mmm (123); calculated volume = 87 Å³/cell
1.0
3.8736 0.0000 0.0000
0.0000 3.8736 0.0000
0.0000 0.0000 5.7998
Nb In Ag H
1 1 1 2
Direct
0.0000 0.0000 0.0000 Nb
0.5000 0.5000 0.5000 In
0.5000 0.5000 0.0000 Ag
0.0000 0.5000 0.5000 H
0.5000 0.0000 0.5000 H

Raw total energy per entry: -10.25 -13.25 -9.56 -42.81 -17.40 -13.44 -13.67 -13.64 -20.12 -11.47 -11.46 -17.41 eV per formula unit